The following is a PBE calculation of an optimized crystal structure of Sr3CdCu, from Alexandria.

```
Sr3CdCu
1.0
5.905 0.000 0.000
0.000 5.905 0.000
0.000 0.000 5.905
Sr Cd Cu
3 1 1
direct
0.000 0.000 0.500 Sr
0.000 0.500 0.000 Sr
0.500 0.000 0.000 Sr
0.500 0.500 0.500 Cd
0.000 0.000 0.000 Cu
```

## Properties
E_form   0.00 eV/atom
Total energy   -2.009 eV per atom

***

The following is a PBE calculation of an optimized crystal structure of SrCdCu, from Alexandria.

```
SrCdCu
1.0
3.069 -6.303 0.000
3.069 6.303 0.000
0.000 0.000 8.170
Sr Cd Cu
4 4 4
direct
0.176 0.824 0.902 Sr
0.324 0.676 0.402 Sr
0.676 0.324 0.598 Sr
0.824 0.176 0.098 Sr
0.190 0.310 0.750 Cd
0.310 0.190 0.250 Cd
0.690 0.810 0.750 Cd
0.810 0.690 0.250 Cd
0.091 0.909 0.539 Cu
0.409 0.591 0.039 Cu
0.591 0.409 0.961 Cu
0.909 0.091 0.461 Cu
```

## Properties
E_form   -0.13 eV/atom
Total energy   -2.358 eV per atom

***

The following is a PBE calculation of an optimized crystal structure of Sr2Cd2Cu, from Alexandria.

```
Sr2Cd2Cu
1.0
-3.224 3.224 3.987
3.224 -3.224 3.987
3.224 3.224 -3.987
Sr Cd Cu
2 2 1
direct
0.250 0.750 0.500 Sr
0.750 0.250 0.500 Sr
0.171 0.171 0.000 Cd
0.829 0.829 0.000 Cd
0.500 0.500 0.000 Cu
```

## Properties
E_form   0.04 eV/atom
Total energy   -1.821 eV per atom

***

The following is a PBE calculation of an optimized crystal structure of SrCdCu17, from Alexandria.

```
SrCdCu17
1.0
4.287 2.475 4.169
-4.287 2.475 4.169
0.000 -4.951 4.169
Sr Cd Cu
1 1 17
direct
0.000 0.000 0.000 Sr
0.311 0.311 0.311 Cd
0.005 0.005 0.497 Cu
0.005 0.497 0.005 Cu
0.154 0.659 0.659 Cu
0.316 0.316 0.797 Cu
0.316 0.797 0.316 Cu
0.363 0.652 0.954 Cu
0.363 0.954 0.652 Cu
0.497 0.005 0.005 Cu
0.553 0.553 0.553 Cu
0.652 0.363 0.954 Cu
0.652 0.954 0.363 Cu
0.659 0.154 0.659 Cu
0.659 0.659 0.154 Cu
0.747 0.747 0.747 Cu
0.797 0.316 0.316 Cu
0.954 0.363 0.652 Cu
0.954 0.652 0.363 Cu
```

## Properties
E_form   0.02 eV/atom
Total energy   -3.777 eV per atom

***

The following is a PBE calculation of an optimized crystal structure of SrCdCu, from Alexandria.

```
SrCdCu
1.0
-1.832 1.832 5.558
1.832 -1.832 5.558
1.832 1.832 -5.558
Sr Cd Cu
1 1 1
direct
0.000 0.000 0.000 Sr
0.293 0.293 0.000 Cd
0.690 0.690 0.000 Cu
```

## Properties
E_form   -0.06 eV/atom
Total energy   -2.289 eV per atom

***

The following is a PBE calculation of an optimized crystal structure of SrCdCu, from Alexandria.

```
SrCdCu
1.0
4.676 0.000 0.000
-2.338 4.050 0.000
0.000 0.000 4.284
Sr Cd Cu
1 1 1
direct
0.000 0.000 0.000 Sr
0.667 0.333 0.500 Cd
0.333 0.667 0.500 Cu
```

## Properties
E_form   -0.16 eV/atom
Total energy   -2.390 eV per atom

***

The following is a PBE calculation of an optimized crystal structure of SrCdCu, from Alexandria.

```
SrCdCu
1.0
5.533 -2.279 0.000
5.533 2.279 0.000
-4.649 0.000 6.059
Sr Cd Cu
2 2 2
direct
0.066 0.066 0.312 Sr
0.934 0.934 0.688 Sr
0.309 0.309 0.903 Cd
0.691 0.691 0.097 Cd
0.366 0.366 0.321 Cu
0.634 0.634 0.679 Cu
```

## Properties
E_form   -0.19 eV/atom
Total energy   -2.424 eV per atom

***

The following is a PBE calculation of an optimized crystal structure of SrCdCu2, from Alexandria.

```
SrCdCu2
1.0
3.811 -2.201 0.000
3.811 2.201 0.000
-2.550 0.000 5.583
Sr Cd Cu
1 1 2
direct
0.000 0.000 0.000 Sr
0.194 0.194 0.583 Cd
0.467 0.467 0.401 Cu
0.797 0.797 0.392 Cu
```

## Properties
E_form   -0.09 eV/atom
Total energy   -2.788 eV per atom

***

The following is a PBE calculation of an optimized crystal structure of Sr6Cd5Cu, from Alexandria.

```
Sr6Cd5Cu
1.0
5.725 0.000 0.000
0.000 7.940 0.000
-2.855 0.000 8.589
Sr Cd Cu
6 5 1
direct
0.000 0.241 0.000 Sr
0.000 0.759 0.000 Sr
0.339 0.246 0.676 Sr
0.339 0.754 0.676 Sr
0.661 0.246 0.324 Sr
0.661 0.754 0.324 Sr
0.167 0.500 0.335 Cd
0.172 0.000 0.345 Cd
0.500 0.500 0.000 Cd
0.828 0.000 0.655 Cd
0.833 0.500 0.665 Cd
0.500 0.000 0.000 Cu
```

## Properties
E_form   -0.26 eV/atom
Total energy   -1.825 eV per atom

***

The following is a PBE calculation of an optimized crystal structure of SrCd11Cu, from Alexandria.

```
SrCd11Cu
1.0
2.937 -7.117 0.000
2.937 7.117 0.000
-2.842 0.000 7.138
Sr Cd Cu
1 11 1
direct
0.000 0.000 0.000 Sr
0.000 0.000 0.500 Cd
0.000 0.500 0.000 Cd
0.018 0.362 0.359 Cd
0.297 0.509 0.776 Cd
0.362 0.018 0.359 Cd
0.491 0.703 0.224 Cd
0.500 0.000 0.000 Cd
0.509 0.297 0.776 Cd
0.638 0.982 0.641 Cd
0.703 0.491 0.224 Cd
0.982 0.638 0.641 Cd
0.500 0.500 0.500 Cu
```

## Properties
E_form   -0.10 eV/atom
Total energy   -1.320 eV per atom

***

The following is a PBE calculation of an optimized crystal structure of Sr2CdCu2, from Alexandria.

```
Sr2CdCu2
1.0
-2.990 2.990 3.915
2.990 -2.990 3.915
2.990 2.990 -3.915
Sr Cd Cu
2 1 2
direct
0.250 0.750 0.500 Sr
0.750 0.250 0.500 Sr
0.000 0.000 0.000 Cd
0.350 0.350 0.000 Cu
0.650 0.650 0.000 Cu
```

## Properties
E_form   -0.03 eV/atom
Total energy   -2.526 eV per atom

***

The following is a PBE calculation of an optimized crystal structure of SrCdCu2, from Alexandria.

```
SrCdCu2
1.0
4.048 0.000 0.000
0.000 4.103 0.000
-2.017 0.000 5.430
Sr Cd Cu
1 1 2
direct
0.000 0.000 0.000 Sr
0.705 0.500 0.410 Cd
0.279 0.000 0.550 Cu
0.391 0.500 0.783 Cu
```

## Properties
E_form   -0.02 eV/atom
Total energy   -2.720 eV per atom

***

Q: What is the formula in the fourth record?
A: SrCdCu17